A relaxed structure of Y2RhBr, computed with PBE.

Output
total magnetic moment	0.00	μB per atom
energy relative to the lowest polymorph listed for this composition	47.8	kJ per mole of atoms
raw formation energy	-567	meV/atom

a b c (Å): 4.014 4.014 11.567
angles (deg): 90.00 90.00 90.00
Space group I-4m2 (No. 119)
Symmetry-distinct sites (fractional):
Y: 0.000 0.000 0.000 (multiplicity 2)
Y: 0.000 0.500 0.250 (multiplicity 2)
Rh: 0.000 0.000 0.500 (multiplicity 2)
Br: 0.000 0.500 0.750 (multiplicity 2)